First-principles (SCAN) data for a crystal of GaP2OF relaxed with PBEsol, as listed in Alexandria.

The space group is P4/mmm (No. 123) and the conventional cell measures 4.707, 4.707 and 3.617 Å, with angles of 90.00, 90.00 and 90.00 degrees. Symmetry generates all atoms from Ga at (0.000, 0.000, 0.000), P at (0.000, 0.500, 0.000), O at (0.000, 0.000, 0.500) and F at (0.500, 0.500, 0.500).


First-principles (SCAN) data for a crystal of GaReO2F relaxed with PBEsol, as listed in Alexandria.

The space group is P4/mmm (No. 123) and the conventional cell measures 3.840, 3.840 and 4.367 Å, with angles of 90.00, 90.00 and 90.00 degrees. Symmetry generates all atoms from Ga at (0.000, 0.000, 0.000), Re at (0.500, 0.500, 0.500), O at (0.000, 0.500, 0.500) and F at (0.500, 0.500, 0.000).


First-principles (SCAN) data for a crystal of GaReO2F relaxed with PBEsol, as listed in Alexandria.

The space group is P4/mmm (No. 123) and the conventional cell measures 3.869, 3.869 and 3.840 Å, with angles of 90.00, 90.00 and 90.00 degrees. Symmetry generates all atoms from Ga at (0.000, 0.000, 0.000), Re at (0.500, 0.500, 0.500), O at (0.000, 0.500, 0.000) and F at (0.000, 0.000, 0.500).


First-principles (SCAN) data for a crystal of GaSbO2F relaxed with PBEsol, as listed in Alexandria.

The space group is P4/mmm (No. 123) and the conventional cell measures 4.109, 4.109 and 4.379 Å, with angles of 90.00, 90.00 and 90.00 degrees. Symmetry generates all atoms from Ga at (0.000, 0.000, 0.000), Sb at (0.500, 0.500, 0.500), O at (0.000, 0.500, 0.500) and F at (0.500, 0.500, 0.000).


First-principles (SCAN) data for a crystal of SrGaO2F relaxed with PBEsol, as listed in Alexandria.

The space group is P4/mmm (No. 123) and the conventional cell measures 3.863, 3.863 and 3.987 Å, with angles of 90.00, 90.00 and 90.00 degrees. Symmetry generates all atoms from Sr at (0.000, 0.000, 0.000), Ga at (0.500, 0.500, 0.500), O at (0.000, 0.500, 0.500) and F at (0.500, 0.500, 0.000).


First-principles (SCAN) data for a crystal of TaGaOF2 relaxed with PBEsol, as listed in Alexandria.

The space group is P4/mmm (No. 123) and the conventional cell measures 4.339, 4.339 and 3.465 Å, with angles of 90.00, 90.00 and 90.00 degrees. Symmetry generates all atoms from Ta at (0.000, 0.000, 0.000), Ga at (0.500, 0.500, 0.500), O at (0.500, 0.500, 0.000) and F at (0.000, 0.500, 0.500).


First-principles (SCAN) data for a crystal of TaGaOF2 relaxed with PBEsol, as listed in Alexandria.

The space group is P4/mmm (No. 123) and the conventional cell measures 4.232, 4.232 and 3.927 Å, with angles of 90.00, 90.00 and 90.00 degrees. Symmetry generates all atoms from Ta at (0.000, 0.000, 0.000), Ga at (0.500, 0.500, 0.500), O at (0.000, 0.000, 0.500) and F at (0.000, 0.500, 0.000).


First-principles (SCAN) data for a crystal of TiGaOF2 relaxed with PBEsol, as listed in Alexandria.

The space group is P4/mmm (No. 123) and the conventional cell measures 4.063, 4.063 and 3.731 Å, with angles of 90.00, 90.00 and 90.00 degrees. Symmetry generates all atoms from Ti at (0.000, 0.000, 0.000), Ga at (0.500, 0.500, 0.500), O at (0.500, 0.500, 0.000) and F at (0.000, 0.500, 0.500).


Formation energy (no corrections) / meV/atom: 366, -1127, -465, -1185, -2784, -660, -1830, -1636
Density of states at the Fermi level / states/eV per cell: 2.46, 1.42, 0.99, 0.54, 0.00, 2.52, 1.93, 2.52